# 1
Nd3Ge7Ir2: optimized geometry, PBE-GGA.

Properties
The value obtained for the theoretical density is 8.83 g/cm3. The calculated formation energy is -65.0 kJ per mole of atoms.

```
data_Nd3Ge7Ir2
_symmetry_space_group_name_H-M 'P 1'
_symmetry_Int_Tables_number 1
_symmetry_space_group_name_Hall 'P 1'
_cell_length_a 4.364
_cell_length_b 4.358
_cell_length_c 13.290
_cell_angle_alpha 99.42
_cell_angle_beta 90.00
_cell_angle_gamma 90.00
loop_
_atom_site_label
_atom_site_type_symbol
_atom_site_fract_x
_atom_site_fract_y
_atom_site_fract_z
Nd1 Nd 0.000 0.817 0.634
Ge1 Ge 0.500 0.723 0.446
Ge2 Ge 0.500 0.915 0.828
Ge3 Ge 0.500 0.085 0.172
Ge4 Ge 0.000 0.586 0.172
Ir1 Ir 0.500 0.629 0.260
Nd2 Nd 0.500 0.500 0.000
Ge5 Ge 0.000 0.414 0.828
Ge6 Ge 0.500 0.277 0.554
Ge7 Ge 0.000 0.000 0.000
Nd3 Nd 0.000 0.183 0.366
Ir2 Ir 0.500 0.371 0.740
```

---

# 2
NdGeIr: optimized geometry, PBE-GGA.

Properties
The value obtained for the theoretical density is 10.48 g/cm3. The calculated formation energy is -72.4 kJ per mole of atoms.

```
data_NdGeIr
_symmetry_space_group_name_H-M 'P 1'
_symmetry_Int_Tables_number 1
_symmetry_space_group_name_Hall 'P 1'
_cell_length_a 3.968
_cell_length_b 4.343
_cell_length_c 4.343
_cell_angle_alpha 120.00
_cell_angle_beta 90.00
_cell_angle_gamma 90.00
loop_
_atom_site_label
_atom_site_type_symbol
_atom_site_fract_x
_atom_site_fract_y
_atom_site_fract_z
Ge1 Ge 0.167 0.667 0.333
Nd1 Nd 0.667 0.333 0.667
Ir1 Ir 0.167 0.000 0.000
```

---

# 3
Nd3Ge8Ir3: optimized geometry, PBE-GGA.

Properties
The value obtained for the theoretical density is 9.47 g/cm3. The calculated formation energy is -44.9 kJ per mole of atoms.

```
data_Nd3Ge8Ir3
_symmetry_space_group_name_H-M 'P 1'
_symmetry_Int_Tables_number 1
_symmetry_space_group_name_Hall 'P 1'
_cell_length_a 4.229
_cell_length_b 8.438
_cell_length_c 8.438
_cell_angle_alpha 78.02
_cell_angle_beta 75.49
_cell_angle_gamma 75.49
loop_
_atom_site_label
_atom_site_type_symbol
_atom_site_fract_x
_atom_site_fract_y
_atom_site_fract_z
Ir1 Ir 0.500 0.000 0.000
Ge1 Ge 0.621 0.677 0.081
Nd1 Nd 0.816 0.184 0.184
Ge2 Ge 0.621 0.081 0.677
Ge3 Ge 0.156 0.216 0.472
Nd2 Nd 0.500 0.500 0.500
Ge4 Ge 0.156 0.472 0.216
Ge5 Ge 0.379 0.919 0.323
Ge6 Ge 0.844 0.528 0.784
Ir2 Ir 0.000 0.793 0.207
Ge7 Ge 0.844 0.784 0.528
Ge8 Ge 0.379 0.323 0.919
Ir3 Ir 0.000 0.207 0.793
Nd3 Nd 0.184 0.816 0.816
```